{
  "formula": "AlCuOF2",
  "functional": "GGA-PBE",
  "state": "relaxed",
  "total_magnetization_mub_per_fu": 0.00,
  "de_polymorph_mev_per_atom": 0,
  "total_energy_ev_per_atom": -5.384,
  "cell": [[3.7505, 0.0000, 0.0000], [0.0000, 3.7505, 0.0000], [0.0000, 0.0000, 3.6541]],
  "species": ["O", "Al", "Cu", "F", "F"],
  "frac_coords": [[0.0000, 0.0000, 0.5000], [0.0000, 0.0000, 0.0000], [0.5000, 0.5000, 0.5000], [0.0000, 0.5000, 0.0000], [0.5000, 0.0000, 0.0000]]
}